1.
Crystalline TbY3Cd at its relaxed geometry, computed with PBE.

Geometry as POSCAR:
```
TbY3Cd
1.0
1.909 -10.210 0.000
1.909 10.210 0.000
0.000 0.000 8.161
Tb Y Cd
2 6 2
direct
0.021 0.979 0.750 Tb
0.979 0.021 0.250 Tb
0.193 0.807 0.750 Y
0.401 0.599 0.537 Y
0.401 0.599 0.963 Y
0.599 0.401 0.037 Y
0.599 0.401 0.463 Y
0.807 0.193 0.250 Y
0.187 0.813 0.250 Cd
0.813 0.187 0.750 Cd
```

- E: -4.945 eV/atom
- SG: Cmcm, No. 63
- Relative energy among the computed polymorphs: 0.179 eV per atom
- DFT formation energy: 43 meV per atom
- DOS at the Fermi energy: 1.65 states/eV/atom


2.
Crystalline TmZrSc2S4 at its relaxed geometry, computed with PBE.

Geometry as POSCAR:
```
TmZrSc2S4
1.0
6.456 0.000 0.000
0.000 3.726 0.000
-2.169 0.000 6.114
Tm Zr Sc S
1 1 2 4
direct
0.000 0.000 0.000 Tm
0.500 0.500 0.000 Zr
0.000 0.500 0.500 Sc
0.500 0.000 0.500 Sc
0.249 0.000 0.742 S
0.255 0.500 0.260 S
0.745 0.500 0.740 S
0.751 0.000 0.258 S
```

- E: -7.030 eV/atom
- Formation energy from raw total energies: -1.7559 eV per atom
- SG: P2/m, No. 10
- DOS at the Fermi energy: 0.48 states/eV/atom


3.
Crystalline Y2TcC2 at its relaxed geometry, computed with PBE.

Geometry as POSCAR:
```
Y2TcC2
1.0
5.588 -2.557 0.000
5.588 2.557 0.000
-3.207 0.000 5.872
Y Tc C
4 2 4
direct
0.031 0.031 0.275 Y
0.322 0.322 0.878 Y
0.678 0.678 0.122 Y
0.969 0.969 0.725 Y
0.363 0.363 0.370 Tc
0.637 0.637 0.630 Tc
0.182 0.182 0.111 C
0.492 0.492 0.722 C
0.508 0.508 0.278 C
0.818 0.818 0.889 C
```

- E: -8.681 eV/atom
- SG: C2/m, No. 12
- Relative energy among the computed polymorphs: 0.061 eV per atom
- DFT formation energy: -333 meV per atom
- DOS at the Fermi energy: 0.38 states/eV/atom


4.
Crystalline NaPrGaSn at its relaxed geometry, computed with PBE.

Geometry as POSCAR:
```
NaPrGaSn
1.0
0.000 3.751 3.751
3.751 0.000 3.751
3.751 3.751 0.000
Na Pr Ga Sn
1 1 1 1
direct
0.000 0.000 0.000 Na
0.500 0.500 0.500 Pr
0.250 0.250 0.250 Ga
0.750 0.750 0.750 Sn
```

- E: -3.616 eV/atom
- SG: F-43m, No. 216
- DFT formation energy: -334 meV per atom
- DOS at the Fermi energy: 0.49 states/eV/atom


5.
Crystalline RbDyGe2Br8 at its relaxed geometry, computed with PBE.

Geometry as POSCAR:
```
RbDyGe2Br8
1.0
6.697 0.000 0.000
-0.778 7.326 0.000
-0.263 -0.480 9.822
Rb Dy Ge Br
1 1 2 8
direct
0.000 0.000 0.000 Rb
0.000 0.000 0.500 Dy
0.444 0.560 0.289 Ge
0.556 0.440 0.711 Ge
0.224 0.182 0.305 Br
0.224 0.690 0.476 Br
0.263 0.627 0.082 Br
0.272 0.135 0.715 Br
0.728 0.865 0.285 Br
0.737 0.373 0.918 Br
0.776 0.310 0.524 Br
0.776 0.818 0.695 Br
```

- E: -3.516 eV/atom
- Formation energy from raw total energies: -1.1675 eV per atom
- SG: P-1, No. 2
- DOS at the Fermi energy: 0.00 states/eV/atom


6.
Crystalline PrGa2Pt4 at its relaxed geometry, computed with PBE.

Geometry as POSCAR:
```
PrGa2Pt4
1.0
16.643 0.000 0.000
0.000 4.229 0.000
0.000 0.000 7.310
Pr Ga Pt
4 8 16
direct
0.148 0.250 0.062 Pr
0.352 0.750 0.562 Pr
0.648 0.250 0.438 Pr
0.852 0.750 0.938 Pr
0.023 0.750 0.251 Ga
0.191 0.250 0.610 Ga
0.309 0.750 0.110 Ga
0.477 0.250 0.751 Ga
0.523 0.750 0.249 Ga
0.691 0.250 0.890 Ga
0.809 0.750 0.390 Ga
0.977 0.250 0.749 Ga
0.042 0.750 0.895 Pt
0.053 0.250 0.447 Pt
0.171 0.750 0.398 Pt
0.214 0.750 0.810 Pt
0.286 0.250 0.310 Pt
0.329 0.250 0.898 Pt
0.447 0.750 0.947 Pt
0.458 0.250 0.395 Pt
0.542 0.750 0.605 Pt
0.553 0.250 0.053 Pt
0.671 0.750 0.102 Pt
0.714 0.750 0.690 Pt
0.786 0.250 0.190 Pt
0.829 0.250 0.602 Pt
0.947 0.750 0.553 Pt
0.958 0.250 0.105 Pt
```

- E: -5.768 eV/atom
- SG: Pnma, No. 62
- Relative energy among the computed polymorphs: 0.066 eV per atom
- DFT formation energy: -768 meV per atom
- DOS at the Fermi energy: 0.46 states/eV/atom


7.
Crystalline KTc3C at its relaxed geometry, computed with PBE.

Geometry as POSCAR:
```
KTc3C
1.0
4.488 0.000 0.000
0.000 4.488 0.000
0.000 0.000 4.488
K Tc C
1 3 1
direct
0.000 0.000 0.000 K
0.000 0.000 0.500 Tc
0.000 0.500 0.000 Tc
0.500 0.000 0.000 Tc
0.500 0.500 0.500 C
```

- E: -3.914 eV/atom
- SG: Pm-3m, No. 221
- Relative energy among the computed polymorphs: 3.245 eV per atom
- DFT formation energy: 4370 meV per atom
- DOS at the Fermi energy: 1.61 states/eV/atom


8.
Crystalline Ce6AgAu3 at its relaxed geometry, computed with PBE.

Geometry as POSCAR:
```
Ce6AgAu3
1.0
5.644 0.000 0.000
0.000 8.753 0.000
-5.591 0.000 10.130
Ce Ag Au
12 2 6
direct
0.026 0.148 0.054 Ce
0.026 0.352 0.554 Ce
0.422 0.150 0.447 Ce
0.422 0.350 0.947 Ce
0.432 0.646 0.251 Ce
0.432 0.854 0.751 Ce
0.568 0.146 0.249 Ce
0.568 0.354 0.749 Ce
0.578 0.650 0.053 Ce
0.578 0.850 0.553 Ce
0.974 0.648 0.446 Ce
0.974 0.852 0.946 Ce
0.000 0.000 0.500 Ag
0.000 0.500 0.000 Ag
0.018 0.614 0.752 Au
0.018 0.886 0.252 Au
0.500 0.000 0.000 Au
0.500 0.500 0.500 Au
0.982 0.114 0.748 Au
0.982 0.386 0.248 Au
```

- E: -5.091 eV/atom
- SG: P2_1/c, No. 14
- DFT formation energy: -262 meV per atom
- DOS at the Fermi energy: 2.36 states/eV/atom